TiNiAs3 (PBE-GGA, relaxed); polymorph energy (0 for the lowest one) = 0 meV/atom; formation energy from the elements = 368 meV per atom; space-group type = No. 221
1.0
4.5811 0.0000 0.0000
0.0000 4.5811 0.0000
0.0000 0.0000 4.5811
Ni As Ti
1 3 1
Direct
0.0000 0.0000 0.0000 Ni
0.0000 0.5000 0.0000 As
0.0000 0.0000 0.5000 As
0.5000 0.0000 0.0000 As
0.5000 0.5000 0.5000 Ti